Computed, not measured: an optimized crystal structure of AcZn2SiAu4 at the PBE level of DFT.

Computed properties:
ΔE_f (raw) = -0.33 eV per atom

Cell: 4.4705 4.4705 28.3467 Å, 90.00 90.00 120.00°
Space group R-3m (No. 166, hexagonal axes)
Asymmetric unit:
Ac 0.0000 0.0000 0.0000 [3 per cell]
Zn 0.0000 0.0000 0.2451 [6 per cell]
Si 0.0000 0.0000 0.5000 [3 per cell]
Au 0.0000 0.0000 0.1357 [6 per cell]
Au 0.0000 0.0000 0.4043 [6 per cell]

Computed, not measured: an optimized crystal structure of Pr6SmEr5 at the PBE level of DFT.

Computed properties:
ΔH_f (0 K) = 0.018 eV/atom

Cell: 5.158 15.509 10.052 Å, 90.00 90.00 90.00°
Space group Cmmm (No. 65)
Asymmetric unit:
Pr 0.000 0.000 0.249 [4 per cell]
Pr 0.000 0.333 0.249 [8 per cell]
Sm 0.000 0.500 0.500 [2 per cell]
Er 0.000 0.167 0.000 [4 per cell]
Er 0.000 0.168 0.500 [4 per cell]
Er 0.000 0.500 0.000 [2 per cell]

Computed, not measured: an optimized crystal structure of Y2Ag2I at the PBE level of DFT.

Computed properties:
ΔE_f (raw) = -0.36 eV per atom

Cell: 8.253 8.253 3.995 Å, 90.00 90.00 90.00°
Space group P4/mbm (No. 127)
Asymmetric unit:
Y 0.164 0.336 0.000 [4 per cell]
Ag 0.124 0.624 0.500 [4 per cell]
I 0.000 0.000 0.000 [2 per cell]

Computed, not measured: an optimized crystal structure of CoRe at the PBE level of DFT.

Computed properties:
ΔH_f (0 K) = 1.117 eV/atom

Cell: 4.832 4.832 4.832 Å, 90.00 90.00 90.00°
Space group Fm-3m (No. 225)
Asymmetric unit:
Co 0.000 0.000 0.000 [4 per cell]
Re 0.000 0.000 0.500 [4 per cell]

Computed, not measured: an optimized crystal structure of Cs3TaV at the PBE level of DFT.

Computed properties:
ΔH_f (0 K) = 2.477 eV/atom

Cell: 6.620 6.620 6.620 Å, 90.00 90.00 90.00°
Space group Pm-3m (No. 221)
Asymmetric unit:
Cs 0.000 0.000 0.500 [3 per cell]
Ta 0.000 0.000 0.000 [1 per cell]
V 0.500 0.500 0.500 [1 per cell]

Computed, not measured: an optimized crystal structure of ErLuAlCd at the PBE level of DFT.

Computed properties:
ΔH_f (0 K) = -0.335 eV/atom

Cell: 7.249 7.249 7.249 Å, 90.00 90.00 90.00°
Space group F-43m (No. 216)
Asymmetric unit:
Er 0.000 0.000 0.000 [4 per cell]
Lu 0.000 0.000 0.500 [4 per cell]
Al 0.250 0.250 0.750 [4 per cell]
Cd 0.250 0.250 0.250 [4 per cell]

Computed, not measured: an optimized crystal structure of KPr2Nd3Te6 at the PBE level of DFT.

Computed properties:
ΔE_f (raw) = -1.41 eV per atom

Cell: 19.930 4.519 9.234 Å, 90.00 103.67 90.00°
Space group C2/m (No. 12)
Asymmetric unit:
K 0.000 0.000 0.000 [2 per cell]
Pr 0.170 0.500 0.344 [4 per cell]
Nd 0.000 0.000 0.500 [2 per cell]
Nd 0.163 0.500 0.823 [4 per cell]
Te 0.002 0.500 0.261 [4 per cell]
Te 0.165 0.000 0.585 [4 per cell]
Te 0.172 0.000 0.083 [4 per cell]

Computed, not measured: an optimized crystal structure of Tb5CdSb2 at the PBE level of DFT.

Computed properties:
ΔE_f (raw) = -0.36 eV per atom

Cell: 5.639 11.576 14.831 Å, 90.00 90.00 90.00°
Space group Cmcm (No. 63)
Asymmetric unit:
Tb 0.000 0.072 0.099 [8 per cell]
Tb 0.000 0.378 0.052 [8 per cell]
Tb 0.000 0.401 0.750 [4 per cell]
Cd 0.000 0.296 0.250 [4 per cell]
Sb 0.000 0.204 0.609 [8 per cell]

It is found that the uncorrected energy values, taken in the order of the records, are -3.48 -4.67 -4.40 -8.66 -2.23 -3.77 -5.06 -4.40 eV/atom.
It is found that the DOS(E_F) values, taken in the order of the records, are 5.8 32.3 7.2 13.9 24.2 13.8 9.8 27.5 states/eV per cell.
It is found that the M_tot values, taken in the order of the records, are 0.0 0.0 0.0 0.0 0.5 0.0 0.0 0.0 μB per formula unit.